1.
The following is a DFT calculation (GGA-PBE) of AlTe4Pd after structural relaxation.

Values from the calculation:
- total magnetic moment (μB/atom) = 0.000
- uncorrected formation energy (eV/atom) = -0.296
- N(E_F) (states/eV/cell) = 3.08
- raw total energy (eV per atom) = -3.880

Lattice parameters (Å, degrees): 6.7477 6.7477 7.0092 119.49 119.49 35.46
Last column: nearest neighbours and their distance in Å.
Positions (direct):
Al  0.0000  0.0000  0.0000  6 Te 2.78-2.80
Te  0.1322  0.1322  0.4631  2 Pd 2.76, 1 Al 2.78
Te  0.3673  0.3673  0.0478  1 Pd 2.71, 2 Al 2.80
Te  0.6327  0.6327  0.9522  1 Pd 2.71, 2 Al 2.80
Te  0.8678  0.8678  0.5369  2 Pd 2.76, 1 Al 2.78
Pd  0.5000  0.5000  0.5000  6 Te 2.71-2.76


2.
The following is a DFT calculation (GGA-PBE) of AlTe3Pd after structural relaxation.

Values from the calculation:
- total magnetic moment (μB/atom) = 0.000
- uncorrected formation energy (eV/atom) = 0.348
- N(E_F) (states/eV/cell) = 4.53
- distance to the lowest polymorph of the same formula (eV per atom) = 0.0000
- raw total energy (eV per atom) = -3.324

Lattice parameters (Å, degrees): 5.3258 5.3258 5.3258 90.00 90.00 90.00
Last column: nearest neighbours and their distance in Å.
Positions (direct):
Al  0.0000  0.0000  0.0000  12 Te 3.77
Te  0.0000  0.5000  0.5000  2 Pd 2.66
Te  0.5000  0.0000  0.5000  2 Pd 2.66
Te  0.5000  0.5000  0.0000  2 Pd 2.66
Pd  0.5000  0.5000  0.5000  6 Te 2.66


3.
The following is a DFT calculation (GGA-PBE) of AlTePd2 after structural relaxation.

Values from the calculation:
- total magnetic moment (μB/atom) = 0.000
- uncorrected formation energy (eV/atom) = -0.300
- N(E_F) (states/eV/cell) = 4.33
- distance to the lowest polymorph of the same formula (eV per atom) = 0.0000
- raw total energy (eV per atom) = -4.618

Lattice parameters (Å, degrees): 9.0255 9.0255 9.0255 152.39 152.39 39.44
Last column: nearest neighbours and their distance in Å.
Positions (direct):
Al  0.0000  0.0000  0.0000  4 Pd 2.58
Al  0.7500  0.2500  0.5000  4 Pd 2.58
Te  0.2500  0.7500  0.5000  4 Pd 2.65
Te  0.5000  0.5000  0.0000  4 Pd 2.65
Pd  0.1066  0.6250  0.9816  2 Al 2.58, 2 Te 2.65
Pd  0.3750  0.3566  0.4816  2 Al 2.58, 2 Te 2.65
Pd  0.6434  0.1250  0.0184  2 Al 2.58, 2 Te 2.65
Pd  0.8750  0.8934  0.5184  2 Al 2.58, 2 Te 2.65


4.
The following is a DFT calculation (GGA-PBE) of AlTePd6 after structural relaxation.

Values from the calculation:
- total magnetic moment (μB/atom) = 0.000
- uncorrected formation energy (eV/atom) = -0.405
- N(E_F) (states/eV/cell) = 4.91
- distance to the lowest polymorph of the same formula (eV per atom) = 0.0000
- raw total energy (eV per atom) = -5.161

Lattice parameters (Å, degrees): 4.0072 4.0072 7.9577 90.00 90.00 90.00
Last column: nearest neighbours and their distance in Å.
Positions (direct):
Al  0.0000  0.0000  0.0000  12 Pd 2.75-2.83
Te  0.0000  0.0000  0.5000  12 Pd 2.83-2.90
Pd  0.0000  0.5000  0.2366  8 Pd 2.75-2.90, 2 Al 2.75, 2 Te 2.90
Pd  0.0000  0.5000  0.7634  8 Pd 2.75-2.90, 2 Al 2.75, 2 Te 2.90
Pd  0.5000  0.0000  0.2366  8 Pd 2.75-2.90, 2 Al 2.75, 2 Te 2.90
Pd  0.5000  0.0000  0.7634  8 Pd 2.75-2.90, 2 Al 2.75, 2 Te 2.90
Pd  0.5000  0.5000  0.0000  8 Pd 2.75, 4 Al 2.83
Pd  0.5000  0.5000  0.5000  4 Te 2.83, 8 Pd 2.90


5.
The following is a DFT calculation (GGA-PBE) of AlTe3Pd6 after structural relaxation.

Values from the calculation:
- total magnetic moment (μB/atom) = 0.000
- uncorrected formation energy (eV/atom) = -0.382
- N(E_F) (states/eV/cell) = 11.42
- raw total energy (eV per atom) = -4.815

Lattice parameters (Å, degrees): 9.3534 3.8426 11.7009 90.00 110.66 90.00
Last column: nearest neighbours and their distance in Å.
Positions (direct):
Al  0.2063  0.2500  0.0679  8 Pd 2.53-2.62
Al  0.7937  0.7500  0.9321  8 Pd 2.53-2.62
Te  0.0167  0.2500  0.6840  5 Pd 2.62-2.78
Te  0.3410  0.2500  0.3855  6 Pd 2.72-2.87
Te  0.4112  0.7500  0.7971  5 Pd 2.65-2.74
Te  0.5888  0.2500  0.2029  5 Pd 2.65-2.74
Te  0.6590  0.7500  0.6145  6 Pd 2.72-2.87
Te  0.9833  0.7500  0.3160  5 Pd 2.62-2.78
Pd  0.0645  0.7500  0.9259  3 Al 2.56-2.58
Pd  0.1090  0.2500  0.4823  4 Te 2.69-2.78, 4 Pd 2.86-2.94
Pd  0.1854  0.7500  0.2017  2 Al 2.53, 1 Te 2.67
Pd  0.2700  0.2500  0.8752  1 Al 2.53, 3 Te 2.62-2.67
Pd  0.3512  0.7500  0.5579  4 Te 2.65-2.76, 2 Pd 2.86
Pd  0.3954  0.7500  0.0651  2 Al 2.62, 2 Te 2.74, 2 Pd 2.86
Pd  0.6046  0.2500  0.9349  2 Al 2.62, 2 Te 2.74, 2 Pd 2.86
Pd  0.6488  0.2500  0.4421  4 Te 2.65-2.76, 2 Pd 2.86
Pd  0.7300  0.7500  0.1248  1 Al 2.53, 3 Te 2.62-2.67
Pd  0.8146  0.2500  0.7983  2 Al 2.53, 1 Te 2.67
Pd  0.8910  0.7500  0.5177  4 Te 2.69-2.78, 4 Pd 2.86-2.94
Pd  0.9355  0.2500  0.0741  3 Al 2.56-2.58


6.
The following is a DFT calculation (GGA-PBE) of AlTePd2 after structural relaxation.

Values from the calculation:
- total magnetic moment (μB/atom) = 0.000
- uncorrected formation energy (eV/atom) = -0.296
- N(E_F) (states/eV/cell) = 2.44
- distance to the lowest polymorph of the same formula (eV per atom) = 0.0045
- raw total energy (eV per atom) = -4.613

Lattice parameters (Å, degrees): 4.6549 4.6549 4.6549 60.00 60.00 60.00
Last column: nearest neighbours and their distance in Å.
Positions (direct):
Al  0.0000  0.0000  0.0000  8 Pd 2.85
Te  0.5000  0.5000  0.5000  8 Pd 2.85
Pd  0.2500  0.2500  0.2500  4 Te 2.85, 4 Al 2.85
Pd  0.7500  0.7500  0.7500  4 Al 2.85, 4 Te 2.85


7.
The following is a DFT calculation (GGA-PBE) of AlTe2Pd8 after structural relaxation.

Values from the calculation:
- total magnetic moment (μB/atom) = 0.000
- uncorrected formation energy (eV/atom) = -0.378
- N(E_F) (states/eV/cell) = 7.00
- distance to the lowest polymorph of the same formula (eV per atom) = 0.0267
- raw total energy (eV per atom) = -5.066

Lattice parameters (Å, degrees): 7.4666 7.4666 7.4666 148.47 118.27 70.97
Last column: nearest neighbours and their distance in Å.
Positions (direct):
Al  0.0000  0.0000  0.0000  8 Pd 2.55-2.79
Te  0.3208  0.3208  0.0000  8 Pd 2.66-2.77
Te  0.6792  0.6792  0.0000  8 Pd 2.66-2.77
Pd  0.0918  0.8361  0.2557  3 Te 2.73-2.77, 1 Al 2.79, 6 Pd 2.85-2.92
Pd  0.1276  0.6276  0.5000  2 Al 2.55, 6 Pd 2.78-2.85
Pd  0.3005  0.5000  0.8005  2 Te 2.66, 6 Pd 2.78-2.86
Pd  0.4195  0.1639  0.2557  3 Te 2.73-2.77, 1 Al 2.79, 6 Pd 2.85-2.92
Pd  0.5805  0.8361  0.7443  3 Te 2.73-2.77, 1 Al 2.79, 6 Pd 2.85-2.92
Pd  0.6995  0.5000  0.1995  2 Te 2.66, 6 Pd 2.78-2.86
Pd  0.8724  0.3724  0.5000  2 Al 2.55, 6 Pd 2.78-2.85
Pd  0.9082  0.1639  0.7443  3 Te 2.73-2.77, 1 Al 2.79, 6 Pd 2.85-2.92


8.
The following is a DFT calculation (GGA-PBE) of Al2TePd after structural relaxation.

Values from the calculation:
- total magnetic moment (μB/atom) = 0.000
- uncorrected formation energy (eV/atom) = 0.111
- N(E_F) (states/eV/cell) = 2.79
- distance to the lowest polymorph of the same formula (eV per atom) = 0.2634
- raw total energy (eV per atom) = -3.844

Lattice parameters (Å, degrees): 4.7802 4.7802 4.7802 60.00 60.00 60.00
Last column: nearest neighbours and their distance in Å.
Positions (direct):
Al  0.2500  0.2500  0.2500  4 Te 2.93, 4 Pd 2.93
Al  0.7500  0.7500  0.7500  4 Te 2.93, 4 Pd 2.93
Te  0.0000  0.0000  0.0000  8 Al 2.93
Pd  0.5000  0.5000  0.5000  8 Al 2.93


9.
The following is a DFT calculation (GGA-PBE) of AlTe2Pd after structural relaxation.

Values from the calculation:
- total magnetic moment (μB/atom) = 0.000
- uncorrected formation energy (eV/atom) = -0.299
- N(E_F) (states/eV/cell) = 6.71
- raw total energy (eV per atom) = -4.103

Lattice parameters (Å, degrees): 7.4902 7.4902 7.4902 131.16 131.16 71.55
Last column: nearest neighbours and their distance in Å.
Positions (direct):
Al  0.0000  0.0000  0.0000  4 Te 2.68
Al  0.7500  0.2500  0.5000  4 Te 2.68
Te  0.1294  0.6250  0.0044  2 Pd 2.65, 2 Al 2.68
Te  0.3750  0.3794  0.5044  2 Pd 2.65, 2 Al 2.68
Te  0.6206  0.1250  0.9956  2 Pd 2.65, 2 Al 2.68
Te  0.8750  0.8706  0.4956  2 Pd 2.65, 2 Al 2.68
Pd  0.2500  0.7500  0.5000  4 Te 2.65
Pd  0.5000  0.5000  0.0000  4 Te 2.65


10.
The following is a DFT calculation (GGA-PBE) of AlTePd after structural relaxation.

Values from the calculation:
- total magnetic moment (μB/atom) = 0.000
- uncorrected formation energy (eV/atom) = -0.218
- N(E_F) (states/eV/cell) = 1.13
- raw total energy (eV per atom) = -4.243

Lattice parameters (Å, degrees): 3.5146 3.5146 11.4711 90.00 90.00 120.00
Last column: nearest neighbours and their distance in Å.
Positions (direct):
Al  0.0000  0.0000  0.1380  3 Pd 2.57
Al  0.0000  0.0000  0.8620  3 Pd 2.57
Te  0.6667  0.3333  0.3332  3 Pd 2.79, 3 Al 3.02
Te  0.6667  0.3333  0.6668  3 Pd 2.79, 3 Al 3.02
Pd  0.3333  0.6667  0.0000  6 Al 2.57
Pd  0.3333  0.6667  0.5000  6 Te 2.79